# PdF2

A geometry-optimized PdF2 structure (PBE, the Open Quantum Materials Database).

abc: 3.710 3.710 3.710
angles: 60.00 60.00 60.00
Element x y z (fractional)
Pd 0.000 0.000 0.000
F 0.250 0.250 0.250
F 0.750 0.750 0.750

Computed properties:
**Electronic total energy**: -0.27999 Ry/atom